The following is a PBE calculation of crystalline Cs4ZnCd4 at its relaxed geometry, from the Alexandria database.

Lattice parameters (Å, degrees): 9.677 9.677 9.677 131.97 131.97 70.28
Fractional positions:
Cs (0.072, 0.646, 0.000)
Cs (0.354, 0.354, 0.426)
Cs (0.646, 0.072, 0.000)
Cs (0.928, 0.928, 0.574)
Zn (0.500, 0.500, 0.000)
Cd (0.192, 0.192, 0.586)
Cd (0.394, 0.808, 0.000)
Cd (0.606, 0.606, 0.414)
Cd (0.808, 0.394, 0.000)

Values from the calculation:
Uncorrected energy, eV/atom: -0.8771
SG: No. 121
D(E_F), states/eV/cell: 7.7